Entry from Alexandria: a relaxed structure of MnNi3O4 (PBE+U).

Geometry as CIF:
```
data_MnNi3O4
_cell_length_a 6.064
_cell_length_b 8.592
_cell_length_c 3.045
_cell_angle_alpha 90.00
_cell_angle_beta 90.00
_cell_angle_gamma 90.00
_space_group_name_H-M_alt 'C m m m'
_space_group_IT_number 65
_space_group_name_Hall '-C 2 2'
loop_
_atom_site_label
_atom_site_type_symbol
_atom_site_fract_x
_atom_site_fract_y
_atom_site_fract_z
Mn1 Mn 0.000 0.000 0.000
Ni1 Ni 0.000 0.500 0.000
Ni2 Ni 0.250 0.250 0.500
O1 O 0.000 0.256 0.000
O2 O 0.240 0.500 0.500
```

Output
The offset from the most stable computed form is 0 meV per atom. The value obtained for the energy is -0.20427 Ha/atom.